(1)
First-principles (PBE+U) data for crystalline Tb2CrSbO7 at its relaxed geometry, as listed in the Alexandria database.

a b c (Å): 7.297 7.297 7.297
angles (deg): 120.19 119.48 90.29
Positions (direct):
Tb1 0.000 0.000 0.000
Tb2 0.500 0.000 0.000
Tb3 0.500 0.000 0.500
Tb4 0.500 0.500 0.500
Cr1 0.000 0.000 0.500
Cr2 0.000 0.500 0.000
Sb1 0.000 0.500 0.500
Sb2 0.500 0.500 0.000
O1 0.089 0.421 0.258
O2 0.089 0.831 0.667
O3 0.090 0.840 0.250
O4 0.331 0.581 0.750
O5 0.337 0.169 0.758
O6 0.337 0.579 0.167
O7 0.377 0.127 0.250
O8 0.623 0.873 0.750
O9 0.663 0.421 0.833
O10 0.663 0.831 0.242
O11 0.669 0.419 0.250
O12 0.910 0.160 0.750
O13 0.911 0.169 0.333
O14 0.911 0.579 0.742

Crystal system: orthorhombic

(2)
First-principles (PBE+U) data for crystalline TbCr2SbO8 at its relaxed geometry, as listed in the Alexandria database.

a b c (Å): 4.718 4.718 6.409
angles (deg): 90.94 90.94 88.39
Positions (direct):
Tb1 0.000 0.000 0.000
Cr1 0.497 0.497 0.252
Cr2 0.503 0.503 0.748
Sb1 0.000 0.000 0.500
O1 0.205 0.791 0.727
O2 0.209 0.795 0.273
O3 0.308 0.308 0.505
O4 0.330 0.330 0.013
O5 0.670 0.670 0.987
O6 0.692 0.692 0.495
O7 0.791 0.205 0.727
O8 0.795 0.209 0.273

Crystal system: monoclinic

no.,total magnetic moment (μB per cell),calculated density (g cm⁻³),electronic total energy (eV per atom)
1,6.0,7.28,-7.660
2,4.0,5.97,-7.134